## Ca2Ac2Au15 (GGA-PBE)

Data for an optimized crystal structure of Ca2Ac2Au15.

Cell: 9.6989 9.6989 15.1303 Å, 90.00 90.00 120.00°
Last column: nearest neighbours and their distance in Å.
Space group R-3m (No. 166, hexagonal axes)
One atom of each set of equivalent atoms:
1 Ca 0.0000 0.0000 0.1026 [6 per cell]  12 Au 2.96-3.29, 1 Ca 3.11
2 Ac 0.0000 0.0000 0.3532 [6 per cell]  9 Au 3.31-3.42
3 Au 0.0000 0.2992 0.0000 [18 per cell]  8 Au 2.90-3.23
4 Au 0.0000 0.5000 0.5000 [9 per cell]  8 Au 2.86-2.92, 2 Ca 2.96
5 Au 0.0085 0.5042 0.1437 [18 per cell]  6 Au 2.82-2.92

Results
- E_form (eV/atom) = -0.472
- raw total energy (eV per cell) = -211.04
- M_tot (μB per cell) = 0.000
- theoretical density (kg/m3) = 14100

---

## Pr2NdDy3 (GGA-PBE)

Data for an optimized crystal structure of Pr2NdDy3.

Cell: 23.5690 3.5294 10.4290 Å, 90.00 108.62 90.00°
Last column: nearest neighbours and their distance in Å.
Space group C2/m (No. 12)
One atom of each set of equivalent atoms:
1 Pr 0.0666 0.0000 0.1386 [4 per cell]  5 Pr 3.52-3.61, 3 Dy 3.67-3.72, 2 Nd 3.79
2 Pr 0.1904 0.5000 0.3721 [4 per cell]  4 Dy 3.44-3.59, 1 Nd 3.49, 6 Pr 3.53-3.65
3 Nd 0.1877 0.5000 0.0356 [4 per cell]  5 Dy 3.40-3.75, 3 Pr 3.49-3.79, 4 Nd 3.53-3.70
4 Dy 0.0586 0.5000 0.4467 [4 per cell]  8 Dy 3.29-3.66, 1 Pr 3.44
5 Dy 0.0690 0.0000 0.7604 [4 per cell]  8 Dy 3.53-3.66, 1 Pr 3.67, 2 Nd 3.75
6 Dy 0.1945 0.5000 0.7148 [4 per cell]  3 Nd 3.40-3.60, 5 Dy 3.52-3.60, 3 Pr 3.54-3.59

Results
- ΔE to the lowest computed polymorph (eV per atom) = 0.0000
- E_form (eV/atom) = 0.120
- raw total energy (eV per cell) = -109.66
- M_tot (μB per cell) = 0.000
- theoretical density (kg/m3) = 7381

---

## MgZr2TaRu (GGA-PBE)

Data for an optimized crystal structure of MgZr2TaRu.

Cell: 5.0549 5.0549 4.8007 Å, 90.00 90.00 90.00°
Last column: nearest neighbours and their distance in Å.
Space group P4/mmm (No. 123)
One atom of each set of equivalent atoms:
1 Mg 0.0000 0.0000 0.0000 [1 per cell]  8 Zr 3.49, 4 Ta 3.57
2 Zr 0.0000 0.5000 0.5000 [2 per cell]  2 Ru 2.53
3 Ta 0.5000 0.5000 0.0000 [1 per cell]  2 Ru 2.40
4 Ru 0.5000 0.5000 0.5000 [1 per cell]  2 Ta 2.40, 4 Zr 2.53

Results
- E_form (eV/atom) = 0.492
- raw total energy (eV per cell) = -37.36
- M_tot (μB per cell) = 0.000
- theoretical density (kg/m3) = 6616

---

## ZnS2O6F2 (GGA-PBE)

Data for an optimized crystal structure of ZnS2O6F2.

Cell: 5.0953 5.0953 7.1079 Å, 90.00 90.00 120.00°
Last column: nearest neighbours and their distance in Å.
Space group P-3 (No. 147)
One atom of each set of equivalent atoms:
1 Zn 0.0000 0.0000 0.0000 [1 per cell]  6 O 2.11
2 S 0.3333 0.6667 0.7799 [2 per cell]  3 O 1.46, 1 F 1.58
3 O 0.0811 0.7126 0.8268 [6 per cell]  1 S 1.46
4 F 0.3333 0.6667 0.5570 [2 per cell]  1 S 1.58

Results
- formation energy without anion corrections (eV/atom) = -1.505
- raw total energy (eV per cell) = -59.58
- M_tot (μB per cell) = 0.000
- theoretical density (kg/m3) = 2738

---

## Hf8Ga2C3 (GGA-PBE)

Data for an optimized crystal structure of Hf8Ga2C3.

Cell: 13.0965 6.5854 5.8629 Å, 90.00 105.04 90.00°
Last column: nearest neighbours and their distance in Å.
Space group C2/m (No. 12)
One atom of each set of equivalent atoms:
1 Hf 0.0928 0.2494 0.3830 [8 per cell]  2 C 2.25-2.26
2 Hf 0.0969 0.5000 0.9111 [4 per cell]  2 C 2.27
3 Hf 0.0992 0.0000 0.8925 [4 per cell]  3 C 2.24-2.33
4 Ga 0.2474 0.5000 0.6659 [4 per cell]  6 Hf 2.72-2.84
5 C 0.0000 0.0000 0.5000 [2 per cell]  6 Hf 2.25-2.33
6 C 0.0000 0.2401 0.0000 [4 per cell]  6 Hf 2.24-2.27

Results
- E_form (eV/atom) = -0.385
- raw total energy (eV per cell) = -236.71
- M_tot (μB per cell) = 0.000
- theoretical density (kg/m3) = 10905

---

## RbTa2Mo (GGA-PBE)

Data for an optimized crystal structure of RbTa2Mo.

Cell: 6.8511 6.8511 6.8511 Å, 90.00 90.00 90.00°
Last column: nearest neighbours and their distance in Å.
Space group Fm-3m (No. 225)
One atom of each set of equivalent atoms:
1 Rb 0.0000 0.0000 0.0000 [4 per cell]  8 Ta 2.97
2 Ta 0.2500 0.2500 0.2500 [8 per cell]  4 Mo 2.97, 4 Rb 2.97
3 Mo 0.0000 0.0000 0.5000 [4 per cell]  8 Ta 2.97

Results
- ΔE to the lowest computed polymorph (eV per atom) = 0.0000
- E_form (eV/atom) = 1.674
- raw total energy (eV per cell) = -115.23
- M_tot (μB per cell) = 0.000
- theoretical density (kg/m3) = 11222

---

## CeTmPu2As4 (GGA-PBE)

Data for an optimized crystal structure of CeTmPu2As4.

Cell: 7.1542 4.1457 7.1735 Å, 90.00 109.64 90.00°
Last column: nearest neighbours and their distance in Å.
Space group P2/m (No. 10)
One atom of each set of equivalent atoms:
1 Ce 0.0000 0.0000 0.0000 [1 per cell]  6 As 2.94
2 Tm 0.0000 0.5000 0.5000 [1 per cell]  6 As 2.90-2.91
3 Pu 0.5000 0.0000 0.5000 [1 per cell]  6 As 2.91-2.92
4 Pu 0.5000 0.5000 0.0000 [1 per cell]  6 As 2.94-2.95
5 As 0.2486 0.0000 0.7474 [2 per cell]  2 Tm 2.91, 3 Pu 2.92-2.94, 1 Ce 2.94
6 As 0.2499 0.5000 0.2541 [2 per cell]  1 Tm 2.90, 3 Pu 2.91-2.95, 2 Ce 2.94

Results
- E_form (eV/atom) = -1.216
- raw total energy (eV per cell) = -67.40
- M_tot (μB per cell) = 0.140
- theoretical density (kg/m3) = 9089

---

## SrLuCuSe3 (GGA-PBE)

Data for an optimized crystal structure of SrLuCuSe3.

Cell: 4.0620 13.5972 10.4799 Å, 90.00 90.00 90.00°
Last column: nearest neighbours and their distance in Å.
Space group Cmcm (No. 63)
One atom of each set of equivalent atoms:
1 Sr 0.0000 0.2474 0.2500 [4 per cell]  6 Se 3.12-3.20
2 Lu 0.0000 0.0000 0.0000 [4 per cell]  6 Se 2.83
3 Cu 0.0000 0.4712 0.7500 [4 per cell]  4 Se 2.46-2.50
4 Se 0.0000 0.0779 0.7500 [4 per cell]  2 Cu 2.50
5 Se 0.0000 0.3630 0.5622 [8 per cell]  1 Cu 2.46

Results
- formation energy without anion corrections (eV/atom) = -1.537
- raw total energy (eV per cell) = -119.90
- M_tot (μB per cell) = 0.000
- theoretical density (kg/m3) = 6461

---

## Si2Ag (GGA-PBE)

Data for an optimized crystal structure of Si2Ag.

Cell: 4.5680 4.5680 5.6546 Å, 90.00 90.00 120.00°
Last column: nearest neighbours and their distance in Å.
Space group P6_3/mmc (No. 194)
One atom of each set of equivalent atoms:
1 Si 0.0000 0.0000 0.0000 [2 per cell]  8 Si 2.83-2.99, 6 Ag 2.99
2 Si 0.3333 0.6667 0.2500 [2 per cell]  5 Ag 2.64-2.83
3 Ag 0.3333 0.6667 0.7500 [2 per cell]  5 Si 2.64-2.83

Results
- ΔE to the lowest computed polymorph (eV per atom) = 0.2993
- formation energy without anion corrections (eV/atom) = 0.614
- raw total energy (eV per cell) = -23.71
- M_tot (μB per cell) = 0.000
- theoretical density (kg/m3) = 5332

---

## HfNbFe (GGA-PBE)

Data for an optimized crystal structure of HfNbFe.

Cell: 3.1516 3.1516 10.0910 Å, 90.00 90.00 90.00°
Last column: nearest neighbours and their distance in Å.
Space group I4mm (No. 107)
One atom of each set of equivalent atoms:
1 Hf 0.0000 0.0000 0.0000 [2 per cell]  4 Fe 2.76, 5 Nb 2.97-3.08
2 Nb 0.0000 0.0000 0.6950 [2 per cell]  4 Fe 2.66, 4 Hf 2.97
3 Fe 0.0000 0.0000 0.3393 [2 per cell]  4 Nb 2.66, 4 Hf 2.76

Results
- ΔE to the lowest computed polymorph (eV per atom) = 0.0000
- E_form (eV/atom) = -0.110
- raw total energy (eV per cell) = -57.63
- M_tot (μB per cell) = 1.158
- theoretical density (kg/m3) = 10843

---

## MnCdW2 (GGA-PBE)

Data for an optimized crystal structure of MnCdW2.

Cell: 2.7997 2.7997 28.0697 Å, 90.00 90.00 120.00°
Last column: nearest neighbours and their distance in Å.
Space group R-3m (No. 166, hexagonal axes)
One atom of each set of equivalent atoms:
1 Mn 0.0000 0.0000 0.0000 [3 per cell]  6 W 2.62, 6 Mn 2.80
2 Cd 0.0000 0.0000 0.5000 [3 per cell]  6 Cd 2.80, 6 W 3.07
3 W 0.0000 0.0000 0.2597 [6 per cell]  3 Mn 2.62, 6 W 2.80

Results
- E_form (eV/atom) = 0.506
- raw total energy (eV per cell) = -101.90
- M_tot (μB per cell) = 0.000
- theoretical density (kg/m3) = 13988

---

## RbTl2As (GGA-PBE)

Data for an optimized crystal structure of RbTl2As.

Cell: 7.2134 9.6212 9.2938 Å, 90.00 119.44 90.00°
Last column: nearest neighbours and their distance in Å.
Space group P2_1/c (No. 14)
One atom of each set of equivalent atoms:
1 Rb 0.1899 0.0254 0.2373 [4 per cell]  2 As 3.58-3.71, 6 Tl 3.65-3.99, 1 Rb 3.91
2 Tl 0.2298 0.1107 0.6430 [4 per cell]  2 As 2.98-2.99
3 Tl 0.4663 0.6719 0.4435 [4 per cell]  2 As 2.92-2.96
4 As 0.2231 0.6929 0.0783 [4 per cell]  4 Tl 2.92-2.99

Results
- E_form (eV/atom) = -0.159
- raw total energy (eV per cell) = -43.94
- M_tot (μB per cell) = 0.000
- theoretical density (kg/m3) = 6730

---

Which value of theoretical density does entry 10 give?
10843 kg/m3